Entry a
A geometry-optimized YZnInCo structure, computed with GGA-PBE.

Structure (CIF):
```
data_YZnInCo
_symmetry_space_group_name_H-M 'F -4 3 m'
_symmetry_Int_Tables_number 216
_symmetry_space_group_name_Hall 'F -4 2 3'
_cell_length_a 6.656
_cell_length_b 6.656
_cell_length_c 6.656
_cell_angle_alpha 90.00
_cell_angle_beta 90.00
_cell_angle_gamma 90.00
loop_
_atom_site_label
_atom_site_type_symbol
_atom_site_fract_x
_atom_site_fract_y
_atom_site_fract_z
Y1 Y 0.000 0.000 0.000
Zn1 Zn 0.250 0.250 0.250
In1 In 0.000 0.000 0.500
Co1 Co 0.250 0.250 0.750
```

Output
* volume: 294.9 Å³ per cell
* M_tot: 0.02 μB per cell

---

Entry b
A geometry-optimized YZnInCo structure, computed with GGA-PBE.

Structure (CIF):
```
data_YZnInCo
_symmetry_space_group_name_H-M 'F -4 3 m'
_symmetry_Int_Tables_number 216
_symmetry_space_group_name_Hall 'F -4 2 3'
_cell_length_a 6.656
_cell_length_b 6.656
_cell_length_c 6.656
_cell_angle_alpha 90.00
_cell_angle_beta 90.00
_cell_angle_gamma 90.00
loop_
_atom_site_label
_atom_site_type_symbol
_atom_site_fract_x
_atom_site_fract_y
_atom_site_fract_z
Y1 Y 0.000 0.000 0.000
Zn1 Zn 0.250 0.250 0.750
In1 In 0.250 0.250 0.250
Co1 Co 0.000 0.000 0.500
```

Output
* volume: 294.9 Å³ per cell
* M_tot: 1.15 μB per cell

---

So which one is most stable? That would be entry a, about 94 meV per atom below the next structure.

---

Entry a
A geometry-optimized LiCoSiIr structure, computed with GGA-PBE.

Structure (CIF):
```
data_LiCoSiIr
_symmetry_space_group_name_H-M 'F -4 3 m'
_symmetry_Int_Tables_number 216
_symmetry_space_group_name_Hall 'F -4 2 3'
_cell_length_a 5.754
_cell_length_b 5.754
_cell_length_c 5.754
_cell_angle_alpha 90.00
_cell_angle_beta 90.00
_cell_angle_gamma 90.00
loop_
_atom_site_label
_atom_site_type_symbol
_atom_site_fract_x
_atom_site_fract_y
_atom_site_fract_z
Li1 Li 0.000 0.000 0.000
Co1 Co 0.000 0.000 0.500
Si1 Si 0.250 0.250 0.750
Ir1 Ir 0.250 0.250 0.250
```

Output
* volume: 190.5 Å³ per cell
* M_tot: 6.69 μB per cell

---

Entry b
A geometry-optimized LiCoSiIr structure, computed with GGA-PBE.

Structure (CIF):
```
data_LiCoSiIr
_symmetry_space_group_name_H-M 'F -4 3 m'
_symmetry_Int_Tables_number 216
_symmetry_space_group_name_Hall 'F -4 2 3'
_cell_length_a 5.655
_cell_length_b 5.655
_cell_length_c 5.655
_cell_angle_alpha 90.00
_cell_angle_beta 90.00
_cell_angle_gamma 90.00
loop_
_atom_site_label
_atom_site_type_symbol
_atom_site_fract_x
_atom_site_fract_y
_atom_site_fract_z
Li1 Li 0.000 0.000 0.000
Co1 Co 0.250 0.250 0.750
Si1 Si 0.000 0.000 0.500
Ir1 Ir 0.250 0.250 0.250
```

Output
* volume: 180.8 Å³ per cell
* M_tot: 0.02 μB per cell

---

So which one is most stable? That would be entry b, about 419 meV per atom below the next structure.

---

Entry a
A geometry-optimized LuZnCoIr structure, computed with GGA-PBE.

Structure (CIF):
```
data_LuZnCoIr
_symmetry_space_group_name_H-M 'F -4 3 m'
_symmetry_Int_Tables_number 216
_symmetry_space_group_name_Hall 'F -4 2 3'
_cell_length_a 6.378
_cell_length_b 6.378
_cell_length_c 6.378
_cell_angle_alpha 90.00
_cell_angle_beta 90.00
_cell_angle_gamma 90.00
loop_
_atom_site_label
_atom_site_type_symbol
_atom_site_fract_x
_atom_site_fract_y
_atom_site_fract_z
Lu1 Lu 0.000 0.000 0.000
Zn1 Zn 0.250 0.250 0.250
Co1 Co 0.000 0.000 0.500
Ir1 Ir 0.250 0.250 0.750
```

Output
* volume: 259.5 Å³ per cell
* M_tot: 8.15 μB per cell

---

Entry b
A geometry-optimized LuZnCoIr structure, computed with GGA-PBE.

Structure (CIF):
```
data_LuZnCoIr
_symmetry_space_group_name_H-M 'F -4 3 m'
_symmetry_Int_Tables_number 216
_symmetry_space_group_name_Hall 'F -4 2 3'
_cell_length_a 6.282
_cell_length_b 6.282
_cell_length_c 6.282
_cell_angle_alpha 90.00
_cell_angle_beta 90.00
_cell_angle_gamma 90.00
loop_
_atom_site_label
_atom_site_type_symbol
_atom_site_fract_x
_atom_site_fract_y
_atom_site_fract_z
Lu1 Lu 0.000 0.000 0.000
Zn1 Zn 0.000 0.000 0.500
Co1 Co 0.250 0.250 0.750
Ir1 Ir 0.250 0.250 0.250
```

Output
* volume: 247.9 Å³ per cell
* M_tot: 0.75 μB per cell

---

So which one is most stable? That would be entry b, about 193 meV per atom below the next structure.

---

Entry a
A geometry-optimized NaCoIr structure, computed with GGA-PBE.

Structure (CIF):
```
data_NaCoIr
_symmetry_space_group_name_H-M 'F -4 3 m'
_symmetry_Int_Tables_number 216
_symmetry_space_group_name_Hall 'F -4 2 3'
_cell_length_a 5.895
_cell_length_b 5.895
_cell_length_c 5.895
_cell_angle_alpha 90.00
_cell_angle_beta 90.00
_cell_angle_gamma 90.00
loop_
_atom_site_label
_atom_site_type_symbol
_atom_site_fract_x
_atom_site_fract_y
_atom_site_fract_z
Na1 Na 0.000 0.000 0.000
Co1 Co 0.250 0.250 0.750
Ir1 Ir 0.000 0.000 0.500
```

Output
* volume: 204.9 Å³ per cell
* M_tot: 11.48 μB per cell

---

Entry b
A geometry-optimized NaCoIr structure, computed with GGA-PBE.

Structure (CIF):
```
data_NaCoIr
_symmetry_space_group_name_H-M 'F -4 3 m'
_symmetry_Int_Tables_number 216
_symmetry_space_group_name_Hall 'F -4 2 3'
_cell_length_a 5.936
_cell_length_b 5.936
_cell_length_c 5.936
_cell_angle_alpha 90.00
_cell_angle_beta 90.00
_cell_angle_gamma 90.00
loop_
_atom_site_label
_atom_site_type_symbol
_atom_site_fract_x
_atom_site_fract_y
_atom_site_fract_z
Na1 Na 0.000 0.000 0.000
Co1 Co 0.250 0.250 0.750
Ir1 Ir 0.250 0.250 0.250
```

Output
* volume: 209.1 Å³ per cell
* M_tot: 11.91 μB per cell

---

So which one is most stable? That would be entry a, about 867 meV per atom below the next structure.